1.
Material: LaZrRe
Method: DFT, PBE-GGA
State: relaxed

Lattice parameters (Å, degrees): 4.6514 4.6514 4.6514 60.00 60.00 60.00
Element x y z (fractional)
1 Zr 0.5000 0.5000 0.5000
2 Re 0.0000 0.0000 0.0000
3 La 0.7500 0.7500 0.7500

For the uncorrected energy, the calculation gives -21.895 eV/f.u. As for the symmetry: F-43m, No. 216. For the energy above the most stable polymorph in this dataset, the calculation gives 1.242 eV/atom. As for the crystal system: cubic.

***

2.
Material: BeZnTe2
Method: DFT, PBE-GGA
State: relaxed

Lattice parameters (Å, degrees): 3.1759 3.1759 9.4915 90.00 90.00 108.34
Element x y z (fractional)
1 Zn 0.0000 0.0000 0.5604
2 Be 0.5000 0.5000 0.7346
3 Te 0.5000 0.5000 0.2913
4 Te 0.0000 0.0000 0.9136

Its uncorrected formation energy is 0.360 eV per atom. For the uncorrected energy, the calculation gives -9.843 eV/f.u. As for the symmetry: Cmm2, No. 35. For the energy above the most stable polymorph in this dataset, the calculation gives 0.767 eV/atom. As for the crystal system: orthorhombic.

***

3.
Material: Er4AgIr3
Method: DFT, PBE-GGA
State: relaxed

Lattice parameters (Å, degrees): 4.8596 4.8596 8.4350 73.26 73.26 60.00
Element x y z (fractional)
1 Ir 0.2512 0.2512 0.2465
2 Ir 0.5000 0.5000 0.5000
3 Ag 0.0000 0.0000 0.0000
4 Er 0.6215 0.6215 0.1354
5 Er 0.8722 0.8722 0.3834
6 Er 0.1278 0.1278 0.6166
7 Ir 0.7488 0.7488 0.7535
8 Er 0.3785 0.3785 0.8646

For the uncorrected energy, the calculation gives -53.955 eV/f.u. As for the symmetry: R-3m, No. 166. As for the crystal system: trigonal.

***

4.
Material: Ho4SiPS2
Method: DFT, PBE-GGA
State: relaxed

Lattice parameters (Å, degrees): 3.9800 6.8884 6.8997 70.56 90.00 90.00
Element x y z (fractional)
1 Ho 0.5000 0.2551 0.7490
2 Ho 0.0000 0.2579 0.2471
3 Ho 0.5000 0.7449 0.2510
4 S 0.5000 0.0000 0.5000
5 S 0.0000 0.0000 0.0000
6 P 0.5000 0.5000 0.0000
7 Si 0.0000 0.5000 0.5000
8 Ho 0.0000 0.7421 0.7529

Its uncorrected formation energy is -1.631 eV per atom. For the uncorrected energy, the calculation gives -50.443 eV/f.u. As for the symmetry: P2/m, No. 10. As for the crystal system: monoclinic.

***

5.
Material: SmCd2GePd2
Method: DFT, PBE-GGA
State: relaxed

Lattice parameters (Å, degrees): 5.2506 5.2506 6.4765 113.91 113.91 90.00
Element x y z (fractional)
1 Sm 0.5000 0.5000 0.0000
2 Ge 0.0000 0.0000 0.0000
3 Cd 0.7500 0.2500 0.5000
4 Pd 0.2233 0.2233 0.4465
5 Cd 0.2500 0.7500 0.5000
6 Pd 0.7767 0.7767 0.5535

For the uncorrected energy, the calculation gives -22.631 eV/f.u. As for the symmetry: I4/mmm, No. 139. As for the crystal system: tetragonal.

***

6.
Material: PmErSn
Method: DFT, PBE-GGA
State: relaxed

Lattice parameters (Å, degrees): 5.4579 5.4579 6.6440 90.00 90.00 120.08
Last column: magnetic moment on the atom in μB.
Element x y z (fractional)
1 Er 0.0000 0.0000 0.5000  0.45
2 Sn 0.3337 0.6663 0.2500  -0.02
3 Sn 0.6663 0.3337 0.7500  -0.02
4 Pm 0.6668 0.3332 0.2500  0.25
5 Er 0.0000 0.0000 0.0000  0.45
6 Pm 0.3332 0.6668 0.7500  0.25

For the uncorrected energy, the calculation gives -14.864 eV/f.u. As for the symmetry: Cmcm, No. 63. For the energy above the most stable polymorph in this dataset, the calculation gives 0.096 eV/atom. As for the crystal system: orthorhombic.

***

7.
Material: TbTm2GaN
Method: DFT, PBE-GGA
State: relaxed

Lattice parameters (Å, degrees): 4.7749 4.6661 4.6661 90.00 90.00 90.00
Element x y z (fractional)
1 Ga 0.5000 0.5000 0.5000
2 Tm 0.0000 0.5000 0.0000
3 Tb 0.5000 0.0000 0.0000
4 N 0.0000 0.0000 0.0000
5 Tm 0.0000 0.0000 0.5000

Its uncorrected formation energy is -0.992 eV per atom. For the uncorrected energy, the calculation gives -29.888 eV/f.u. As for the symmetry: P4/mmm, No. 123. As for the crystal system: tetragonal.

***

8.
Material: RbNi4
Method: DFT, PBE-GGA
State: relaxed

Lattice parameters (Å, degrees): 4.5416 4.5416 4.5416 90.00 90.00 90.00
Last column: magnetic moment on the atom in μB.
Element x y z (fractional)
1 Rb 0.5000 0.5000 0.5000  -0.01
2 Ni 0.0000 0.0000 0.0000  0.47
3 Ni 0.5000 0.0000 0.5000  0.02
4 Ni 0.5000 0.5000 0.0000  0.02
5 Ni 0.0000 0.5000 0.5000  0.02

For the uncorrected energy, the calculation gives -11.924 eV/f.u. As for the symmetry: Pm-3m, No. 221. As for the crystal system: cubic.

***

9.
Material: YSnN2F
Method: DFT, PBE-GGA
State: relaxed

Lattice parameters (Å, degrees): 4.1750 4.1750 4.0449 90.00 90.00 90.00
Element x y z (fractional)
1 F 0.0000 0.0000 0.5000
2 Sn 0.0000 0.0000 0.0000
3 N 0.5000 0.0000 0.0000
4 Y 0.5000 0.5000 0.5000
5 N 0.0000 0.5000 0.0000

Its uncorrected formation energy is -0.682 eV per atom. For the uncorrected energy, the calculation gives -32.399 eV/f.u. As for the symmetry: P4/mmm, No. 123. For the energy above the most stable polymorph in this dataset, the calculation gives 0.000 eV/atom. As for the crystal system: tetragonal.

***

10.
Material: KPm3Pr2Se6
Method: DFT, PBE-GGA
State: relaxed

Lattice parameters (Å, degrees): 4.2305 8.6444 9.5733 103.36 102.77 90.00
Element x y z (fractional)
1 Se 0.3365 0.4127 0.6730
2 Se 0.6635 0.5873 0.3270
3 Pm 0.1643 0.8244 0.3286
4 Pm 0.5000 0.5000 0.0000
5 Pr 0.8298 0.6560 0.6596
6 Se 0.6722 0.0810 0.3444
7 Se 0.3278 0.9190 0.6556
8 Pr 0.1702 0.3440 0.3404
9 Pm 0.8357 0.1756 0.6714
10 Se 0.0008 0.2644 0.0016
11 Se 0.9992 0.7356 0.9984
12 K 0.5000 0.0000 0.0000

Its uncorrected formation energy is -1.795 eV per atom. For the uncorrected energy, the calculation gives -67.354 eV/f.u. As for the symmetry: C2/m, No. 12. As for the crystal system: monoclinic.

***

11.
Material: Sr2Cd7Pd
Method: DFT, PBE-GGA
State: relaxed

Lattice parameters (Å, degrees): 4.5504 4.5504 12.7525 90.00 90.00 90.00
Element x y z (fractional)
1 Cd 0.0000 0.0000 0.5000
2 Sr 0.0000 0.5000 0.2387
3 Cd 0.0000 0.0000 0.0000
4 Cd 0.0000 0.5000 0.6468
5 Sr 0.5000 0.0000 0.7613
6 Cd 0.5000 0.0000 0.1318
7 Cd 0.5000 0.0000 0.3532
8 Cd 0.5000 0.5000 0.5000
9 Cd 0.0000 0.5000 0.8682
10 Pd 0.5000 0.5000 0.0000

For the uncorrected energy, the calculation gives -17.696 eV/f.u. As for the symmetry: P-4m2, No. 115. As for the crystal system: tetragonal.

***

12.
Material: Si2TcSe
Method: DFT, PBE-GGA
State: relaxed

Lattice parameters (Å, degrees): 2.6702 2.6702 10.5982 90.00 90.00 89.93
Element x y z (fractional)
1 Tc 0.5000 0.5000 0.2500
2 Si 0.0000 0.0000 0.0755
3 Si 0.0000 0.0000 0.4245
4 Se 0.5000 0.5000 0.7500

Its uncorrected formation energy is 0.290 eV per atom. For the uncorrected energy, the calculation gives -23.536 eV/f.u. As for the symmetry: P4/mmm, No. 123. As for the crystal system: tetragonal.